EuMgAgGe: optimized geometry, PBE.

Lattice parameters (Å, degrees): 5.0151 5.0151 5.0151 60.00 60.00 60.00
Sites, in units of the cell vectors:
Mg: 0.0000 0.0000 0.0000
Ge: 0.7500 0.7500 0.7500
Eu: 0.5000 0.5000 0.5000
Ag: 0.2500 0.2500 0.2500

Computed properties:
total DFT energy (no corrections)	-5.1908	eV per atom
theoretical density	6.64	g cm⁻³


TaMnFe: optimized geometry, PBE.

Lattice parameters (Å, degrees): 4.1098 4.1889 5.2000 90.00 113.28 90.00
Sites, in units of the cell vectors:
Ta: 0.9023 0.2500 0.8047
Ta: 0.0977 0.7500 0.1953
Mn: 0.5886 0.2500 0.1771
Mn: 0.4114 0.7500 0.8229
Fe: 0.2470 0.2500 0.4940
Fe: 0.7530 0.7500 0.5060

Computed properties:
theoretical density	11.78	g cm⁻³
excess energy over the best structure of this formula in the dataset	194	meV per atom


LiTeMo2: optimized geometry, PBE.

Lattice parameters (Å, degrees): 3.3674 3.3733 5.9342 90.06 90.00 90.00
Sites, in units of the cell vectors:
Te: 0.0000 0.1290 0.5176
Mo: 0.5000 0.6134 0.2225
Mo: 0.0000 0.1295 0.0063
Li: 0.5000 0.6280 0.7536

Computed properties:
theoretical density	8.04	g cm⁻³
formation energy without anion corrections	0.157	eV/atom


Question: Which formula does entry 1 have?
Answer: EuMgAgGe